# 1
Material: Rb2SnBi
Method: DFT, PBE
State: relaxed

Summary:
Total magnetic moment   0.002 μB per atom
Final energy   -2.700 eV/atom
E_form   -0.245 eV/atom
Calculated density   4.32 g/cm3

```
Rb2SnBi
1.0
-2.3254 5.5770 3.6930
2.3254 -5.5770 3.6930
2.3254 5.5770 -3.6930
Rb Sn Bi
2 1 1
direct
0.1941 0.0000 0.1941
0.8059 0.0000 0.8059
0.4645 0.4645 0.0000
0.7197 0.2197 0.5000
```

# 2
Material: Pa2Ge4RuPt3
Method: DFT, PBE
State: relaxed

Summary:
Total magnetic moment   0.044 μB per atom
Final energy   -7.184 eV/atom
E_form   -0.698 eV/atom
Calculated density   12.98 g/cm3

```
Pa2Ge4RuPt3
1.0
4.1459 0.0000 0.0000
0.0000 4.1459 0.0000
0.0000 0.0000 10.7129
Pa Ge Ru Pt
2 4 1 3
direct
0.0000 0.5000 0.2383
0.5000 0.0000 0.7617
0.0000 0.0000 0.5000
0.0000 0.5000 0.8684
0.5000 0.0000 0.1316
0.5000 0.5000 0.5000
0.5000 0.5000 0.0000
0.0000 0.0000 0.0000
0.0000 0.5000 0.6429
0.5000 0.0000 0.3571
```

# 3
Material: ZnCdCl4
Method: DFT, PBE
State: relaxed

Summary:
Total magnetic moment   0.492 μB per atom
Final energy   -1.170 eV/atom
Polymorph energy (0 for the lowest one)   1511 meV per atom
Calculated density   3.48 g/cm3

```
ZnCdCl4
1.0
0.0000 4.2393 4.2393
4.2393 0.0000 4.2393
4.2393 4.2393 0.0000
Zn Cd Cl
1 1 4
direct
0.0000 0.0000 0.0000
0.7500 0.7500 0.7500
0.3751 0.3751 0.3751
0.3751 0.3751 0.8746
0.3751 0.8746 0.3751
0.8746 0.3751 0.3751
```

# 4
Material: Ce4Si2Ag
Method: DFT, PBE
State: relaxed

Summary:
Total magnetic moment   0.597 μB per atom
Final energy   -5.533 eV/atom
Calculated density   6.41 g/cm3

```
Ce4Si2Ag
1.0
2.4153 1.3945 9.2888
-2.4153 1.3945 9.2888
0.0000 -2.7889 9.2888
Ce Si Ag
4 2 1
direct
0.1141 0.1141 0.1141
0.3008 0.3008 0.3008
0.6992 0.6992 0.6992
0.8859 0.8859 0.8859
0.4075 0.4075 0.4075
0.5925 0.5925 0.5925
0.5000 0.5000 0.5000
```

# 5
Material: Ta2SbCl
Method: DFT, PBE
State: relaxed

Summary:
Total magnetic moment   0.000 μB per atom
Final energy   -7.134 eV/atom
Polymorph energy (0 for the lowest one)   498 meV per atom
Calculated density   11.48 g/cm3

```
Ta2SbCl
1.0
1.5432 0.8909 9.0990
-1.5432 0.8909 9.0990
0.0000 -1.7819 9.0990
Ta Sb Cl
2 1 1
direct
0.2465 0.2465 0.2465
0.7535 0.7535 0.7535
0.0000 0.0000 0.0000
0.5000 0.5000 0.5000
```

# 6
Material: ThInAgIr
Method: DFT, PBE
State: relaxed

Summary:
Total magnetic moment   0.000 μB per atom
Final energy   -5.806 eV/atom
E_form   -0.339 eV/atom
Calculated density   12.37 g/cm3

```
ThInAgIr
1.0
0.0000 3.5148 3.5148
3.5148 0.0000 3.5148
3.5148 3.5148 0.0000
Th In Ag Ir
1 1 1 1
direct
0.0000 0.0000 0.0000
0.5000 0.5000 0.5000
0.2500 0.2500 0.2500
0.7500 0.7500 0.7500
```

# 7
Material: BeCd3Bi
Method: DFT, PBE
State: relaxed

Summary:
Total magnetic moment   0.000 μB per atom
Final energy   -1.118 eV/atom
E_form   0.952 eV/atom
Polymorph energy (0 for the lowest one)   601 meV per atom
Calculated density   4.67 g/cm3

```
BeCd3Bi
1.0
5.8228 0.0000 0.0000
0.0000 5.8228 0.0000
0.0000 0.0000 5.8228
Be Cd Bi
1 3 1
direct
0.0000 0.0000 0.0000
0.0000 0.5000 0.5000
0.5000 0.0000 0.5000
0.5000 0.5000 0.0000
0.5000 0.5000 0.5000
```

# 8
Material: AcYSeS2
Method: DFT, PBE
State: relaxed

Summary:
Total magnetic moment   0.000 μB per atom
Final energy   -6.405 eV/atom
Calculated density   4.80 g/cm3

```
AcYSeS2
1.0
4.8688 0.0000 0.0000
0.0000 4.8688 0.0000
0.0000 0.0000 6.6953
Ac Y Se S
1 1 1 2
direct
0.0000 0.0000 0.0000
0.5000 0.5000 0.4060
0.5000 0.5000 0.8161
0.0000 0.5000 0.2518
0.5000 0.0000 0.2518
```

# 9
Material: Pm2PrSm2Dy2
Method: DFT, PBE
State: relaxed

Summary:
Total magnetic moment   0.000 μB per atom
Final energy   -4.688 eV/atom
E_form   0.015 eV/atom
Calculated density   7.46 g/cm3

```
Pm2PrSm2Dy2
1.0
5.7191 -2.5601 0.0000
5.7191 2.5601 0.0000
-1.1383 0.0000 8.0334
Pm Pr Sm Dy
2 1 2 2
direct
0.1431 0.1431 0.4295
0.8569 0.8569 0.5705
0.0000 0.0000 0.0000
0.4282 0.4282 0.2845
0.5718 0.5718 0.7155
0.2853 0.2853 0.8577
0.7147 0.7147 0.1423
```

# 10
Material: TlPtBr6
Method: DFT, PBE
State: relaxed

Summary:
Total magnetic moment   0.000 μB per atom
Final energy   -2.616 eV/atom
Polymorph energy (0 for the lowest one)   33 meV per atom
Calculated density   5.77 g/cm3

```
TlPtBr6
1.0
3.3855 1.9546 6.3759
-3.3855 1.9546 6.3759
0.0000 -3.9093 6.3759
Tl Pt Br
1 1 6
direct
0.0000 0.0000 0.0000
0.5000 0.5000 0.5000
0.1022 0.4689 0.7027
0.2973 0.8978 0.5311
0.4689 0.7027 0.1022
0.5311 0.2973 0.8978
0.7027 0.1022 0.4689
0.8978 0.5311 0.2973
```

# 11
Material: TmLuPa
Method: DFT, PBE
State: relaxed

Summary:
Total magnetic moment   0.000 μB per atom
Final energy   -6.071 eV/atom
E_form   0.091 eV/atom
Polymorph energy (0 for the lowest one)   0 meV per atom
Calculated density   11.49 g/cm3

```
TmLuPa
1.0
3.3842 0.0000 0.0000
-1.6921 2.9308 0.0000
0.0000 0.0000 8.3809
Tm Lu Pa
1 1 1
direct
0.0000 0.0000 0.0000
0.3333 0.6667 0.6451
0.6667 0.3333 0.3233
```

# 12
Material: YMg3Ag
Method: DFT, PBE
State: relaxed

Summary:
Total magnetic moment   0.000 μB per atom
Final energy   -2.738 eV/atom
E_form   0.082 eV/atom
Polymorph energy (0 for the lowest one)   231 meV per atom
Calculated density   3.46 g/cm3

```
YMg3Ag
1.0
5.0590 0.0000 0.0000
0.0000 5.0590 0.0000
0.0000 0.0000 5.0590
Y Mg Ag
1 3 1
direct
0.0000 0.0000 0.0000
0.0000 0.5000 0.5000
0.5000 0.0000 0.5000
0.5000 0.5000 0.0000
0.5000 0.5000 0.5000
```

# 13
Material: TeAsAuSe2
Method: DFT, PBE
State: relaxed

Summary:
Total magnetic moment   0.000 μB per atom
Final energy   -2.968 eV/atom
Polymorph energy (0 for the lowest one)   0 meV per atom
Calculated density   7.10 g/cm3

```
TeAsAuSe2
1.0
5.1187 0.0000 0.0000
0.0000 5.1187 0.0000
0.0000 0.0000 4.9754
Te As Au Se
1 1 1 2
direct
0.0000 0.0000 0.0000
0.5000 0.5000 0.0000
0.5000 0.5000 0.5000
0.0000 0.5000 0.5000
0.5000 0.0000 0.5000
```

# 14
Material: BTe2Os
Method: DFT, PBE
State: relaxed

Summary:
Total magnetic moment   0.000 μB per atom
Final energy   -5.295 eV/atom
Calculated density   8.67 g/cm3

```
BTe2Os
1.0
-2.8580 2.8580 5.3489
2.8580 -2.8580 5.3489
2.8580 2.8580 -5.3489
B Te Os
2 4 2
direct
0.0000 0.0000 0.0000
0.7500 0.2500 0.5000
0.0894 0.6250 0.9644
0.3750 0.3394 0.4644
0.6606 0.1250 0.0356
0.8750 0.9106 0.5356
0.2500 0.7500 0.5000
0.5000 0.5000 0.0000
```